GGA-PBE Cd2AgP, optimized geometry; VASP energy = -2.333 eV/atom; spin magnetization = 0.0000 μB per atom; calculated formation energy = 0.190 eV per atom; symmetry = No. 99
1.0
-3.616 -0.280 -0.845
0.559 -3.465 -1.245
-1.059 -2.043 5.211
Cd P Ag
2 1 1
direct
0.500 0.500 0.270
0.000 0.000 0.982
0.000 0.000 0.491
0.500 0.500 0.757


GGA-PBE CaCeHo2, optimized geometry; VASP energy = -4.087 eV/atom; offset from the most stable computed form = 96 meV/atom; spin magnetization = 0.0821 μB per atom; calculated formation energy = 0.186 eV per atom; symmetry = No. 166
1.0
-1.967 0.865 -2.764
-2.617 -2.095 -1.010
-9.260 5.680 6.151
Ca Ho Ce
1 2 1
direct
0.000 0.000 0.000
0.908 0.908 0.275
0.092 0.092 0.725
0.500 0.500 0.500


GGA-PBE CePm2Sm6Y3, optimized geometry; VASP energy = -5.224 eV/atom; spin magnetization = 0.0937 μB per atom; calculated formation energy = 0.038 eV per atom; symmetry = No. 12
1.0
6.265 -0.002 0.015
-3.133 5.426 0.015
-1.075 -1.862 11.770
Sm Ce Y Pm
6 1 3 2
direct
0.414 0.083 0.251
0.917 0.586 0.749
0.586 0.917 0.749
0.083 0.414 0.251
0.752 0.752 0.251
0.248 0.248 0.749
0.000 0.000 0.000
0.167 0.833 0.500
0.500 0.500 0.500
0.833 0.167 0.500
0.666 0.334 0.000
0.334 0.666 0.000


Volume
In order: 79.0 130.8 400.4
Unit: Å³/cell